[1]
A relaxed structure of Li2BBr2, computed with GGA-PBE.

abc: 4.5020 4.5020 7.0189
angles: 71.29 71.29 90.00
Last column: magnetic moment on the atom in μB.
Element x y z (fractional)
Li (0.2500, 0.7500, 0.5000)  0.00
Li (0.7500, 0.2500, 0.5000)  0.00
Br (0.3483, 0.3483, 0.3034)  0.02
Br (0.6517, 0.6517, 0.6966)  0.02
B (0.0000, 0.0000, 0.0000)  0.38

Computed properties:
E above lowest polymorph in kJ/mol of formula units: 29
E_form (uncorrected) in eV per formula unit: -0.049
M_tot in μB/f.u.: 1.00
Energy in eV for the cell shown: -13.900
SG: No. 139



[2]
A relaxed structure of LiBBr2, computed with GGA-PBE.

abc: 5.9149 5.9149 7.5146
angles: 66.82 66.82 90.00
Element x y z (fractional)
Li (0.5000, 0.5000, 0.0000)
Li (0.2500, 0.7500, 0.5000)
Br (0.1326, 0.6250, 0.2500)
Br (0.6174, 0.1250, 0.2500)
Br (0.3750, 0.3826, 0.7500)
Br (0.8750, 0.8674, 0.7500)
B (0.0000, 0.0000, 0.0000)
B (0.7500, 0.2500, 0.5000)

Computed properties:
E above lowest polymorph in kJ/mol of formula units: 0
E_form (uncorrected) in eV per formula unit: 0.364
M_tot in μB/f.u.: 0.00
Energy in eV for the cell shown: -23.146
SG: No. 122



[3]
A relaxed structure of LiBBr2, computed with GGA-PBE.

abc: 7.9757 7.9757 7.9757
angles: 30.08 30.08 30.08
Element x y z (fractional)
Li (0.0000, 0.0000, 0.0000)
Br (0.1021, 0.1021, 0.1021)
Br (0.8979, 0.8979, 0.8979)
B (0.5000, 0.5000, 0.5000)

Computed properties:
E above lowest polymorph in kJ/mol of formula units: 70
E_form (uncorrected) in eV per formula unit: 1.089
M_tot in μB/f.u.: 0.00
Energy in eV for the cell shown: -10.848
SG: No. 166



[4]
A relaxed structure of LiBBr2, computed with GGA-PBE.

abc: 5.0846 5.0846 5.0846
angles: 60.00 60.00 60.00
Element x y z (fractional)
B (0.5000, 0.5000, 0.5000)
Li (0.7500, 0.7500, 0.7500)
Br (0.2500, 0.2500, 0.2500)
Br (0.0000, 0.0000, 0.0000)

Computed properties:
E above lowest polymorph in kJ/mol of formula units: 250
E_form (uncorrected) in eV per formula unit: 2.954
M_tot in μB/f.u.: 0.00
Energy in eV for the cell shown: -8.983
SG: No. 216



[5]
A relaxed structure of LiB2Br, computed with GGA-PBE.

abc: 4.3612 4.3612 4.3612
angles: 60.00 60.00 60.00
Element x y z (fractional)
Br (0.5000, 0.5000, 0.5000)
Li (0.0000, 0.0000, 0.0000)
B (0.7500, 0.7500, 0.7500)
B (0.2500, 0.2500, 0.2500)

Computed properties:
E_form (uncorrected) in eV per formula unit: 7.341
M_tot in μB/f.u.: 0.00
Energy in eV for the cell shown: -9.601
SG: No. 225



[6]
A relaxed structure of LiBBr, computed with GGA-PBE.

abc: 3.2509 7.6861 8.8340
angles: 77.45 90.00 90.00
Element x y z (fractional)
Li (0.7493, 0.9615, 0.1458)
Li (0.2507, 0.0385, 0.8542)
Li (0.2493, 0.5385, 0.8542)
Li (0.7507, 0.4615, 0.1458)
Br (0.7492, 0.3336, 0.7183)
Br (0.2492, 0.1664, 0.2817)
Br (0.7508, 0.8336, 0.7183)
Br (0.2508, 0.6664, 0.2817)
B (0.2497, 0.7416, 0.0307)
B (0.7503, 0.2584, 0.9693)
B (0.7497, 0.7584, 0.9693)
B (0.2503, 0.2416, 0.0307)

Computed properties:
E_form (uncorrected) in eV per formula unit: -1.388
M_tot in μB/f.u.: 0.00
Energy in eV for the cell shown: -46.609
SG: No. 11



[7]
A relaxed structure of LiMg2BBr, computed with GGA-PBE.

abc: 4.4346 6.2721 4.4346
angles: 90.00 90.00 90.00
Element x y z (fractional)
Li (0.5000, 0.5000, 0.5000)
Br (0.0000, 0.5000, 0.0000)
Mg (0.0000, 0.0000, 0.5000)
Mg (0.5000, 0.0000, 0.0000)
B (0.0000, 0.0000, 0.0000)

Computed properties:
E_form (uncorrected) in eV per formula unit: 0.756
M_tot in μB/f.u.: 0.00
Energy in eV for the cell shown: -12.697
SG: No. 123



[8]
A relaxed structure of Li5BBrN2, computed with GGA-PBE.

abc: 4.1860 4.1860 6.8280
angles: 90.00 90.00 90.00
Element x y z (fractional)
N (0.0000, 0.0000, 0.8003)
N (0.0000, 0.0000, 0.1997)
B (0.0000, 0.0000, 0.0000)
Li (0.0000, 0.5000, 0.7908)
Li (0.0000, 0.0000, 0.5000)
Li (0.5000, 0.0000, 0.7908)
Li (0.0000, 0.5000, 0.2092)
Li (0.5000, 0.0000, 0.2092)
Br (0.5000, 0.5000, 0.5000)

Computed properties:
E_form (uncorrected) in eV per formula unit: -7.376
M_tot in μB/f.u.: 0.66
Energy in eV for the cell shown: -41.946
SG: No. 123



[9]
A relaxed structure of LiB2PdBr, computed with GGA-PBE.

abc: 4.2700 4.2787 4.2700
angles: 90.00 90.00 90.00
Element x y z (fractional)
B (0.0000, 0.0000, 0.5000)
B (0.5000, 0.0000, 0.0000)
Li (0.0000, 0.5000, 0.0000)
Pd (0.5000, 0.5000, 0.5000)
Br (0.0000, 0.0000, 0.0000)

Computed properties:
E_form (uncorrected) in eV per formula unit: 8.042
M_tot in μB/f.u.: 0.00
Energy in eV for the cell shown: -14.093
SG: No. 123



[10]
A relaxed structure of Rb2LiBBr6, computed with GGA-PBE.

abc: 8.0459 8.0459 7.4929
angles: 57.53 57.53 90.00
Element x y z (fractional)
Br (0.8117, 0.8117, 0.3766)
Br (0.7320, 0.2680, 0.0000)
Br (0.2680, 0.2680, 0.0000)
Br (0.1883, 0.1883, 0.6234)
Br (0.2680, 0.7320, 0.0000)
Br (0.7320, 0.7320, 0.0000)
Li (0.5000, 0.5000, 0.0000)
Rb (0.2500, 0.7500, 0.5000)
Rb (0.7500, 0.2500, 0.5000)
B (0.0000, 0.0000, 0.0000)

Computed properties:
E_form (uncorrected) in eV per formula unit: -9.155
M_tot in μB/f.u.: 0.00
Energy in eV for the cell shown: -29.719
SG: No. 139



[11]
A relaxed structure of RbLiB2Br8, computed with GGA-PBE.

abc: 6.4867 6.4867 10.5330
angles: 72.07 72.07 60.00
Element x y z (fractional)
Br (0.8153, 0.8153, 0.5541)
Br (0.7228, 0.0244, 0.8255)
Br (0.2772, 0.9756, 0.1745)
Br (0.0244, 0.4273, 0.8255)
Br (0.5727, 0.2772, 0.1745)
Br (0.4273, 0.7228, 0.8255)
Br (0.9756, 0.5727, 0.1745)
Br (0.1847, 0.1847, 0.4459)
B (0.2536, 0.2536, 0.2393)
B (0.7464, 0.7464, 0.7607)
Rb (0.5000, 0.5000, 0.5000)
Li (0.0000, 0.0000, 0.0000)

Computed properties:
E_form (uncorrected) in eV per formula unit: -10.276
M_tot in μB/f.u.: 0.00
Energy in eV for the cell shown: -39.896
SG: No. 148



[12]
A relaxed structure of RbLiB2Br, computed with GGA-PBE.

abc: 5.4201 6.4435 5.4201
angles: 90.00 90.00 90.00
Last column: magnetic moment on the atom in μB.
Element x y z (fractional)
B (0.0000, 0.0000, 0.5000)  0.26
B (0.5000, 0.0000, 0.0000)  0.49
Br (0.0000, 0.5000, 0.0000)  0.04
Li (0.5000, 0.5000, 0.5000)  0.01
Rb (0.0000, 0.0000, 0.0000)  0.06

Computed properties:
E_form (uncorrected) in eV per formula unit: 9.162
M_tot in μB/f.u.: 2.12
Energy in eV for the cell shown: -8.747
SG: No. 123



[13]
A relaxed structure of LiBSeBr2, computed with GGA-PBE.

abc: 5.0310 5.0310 4.7479
angles: 90.00 90.00 90.00
Last column: magnetic moment on the atom in μB.
Element x y z (fractional)
B (0.5000, 0.5000, 0.5000)  0.00
Br (0.5000, 0.0000, 0.0000)  0.05
Br (0.0000, 0.5000, 0.0000)  0.05
Li (0.0000, 0.0000, 0.0000)  0.00
Se (0.0000, 0.0000, 0.5000)  0.20

Computed properties:
E above lowest polymorph in kJ/mol of formula units: 316
E_form (uncorrected) in eV per formula unit: 3.880
M_tot in μB/f.u.: 0.44
Energy in eV for the cell shown: -11.541
SG: No. 123



[14]
A relaxed structure of LiBSeBr2, computed with GGA-PBE.

abc: 5.3427 5.3427 4.0345
angles: 90.00 90.00 90.00
Element x y z (fractional)
B (0.0000, 0.0000, 0.0000)
Li (0.5000, 0.5000, 0.5000)
Se (0.0000, 0.0000, 0.5000)
Br (0.0000, 0.5000, 0.0000)
Br (0.5000, 0.0000, 0.0000)

Computed properties:
E above lowest polymorph in kJ/mol of formula units: 0
E_form (uncorrected) in eV per formula unit: 0.610
M_tot in μB/f.u.: 0.00
Energy in eV for the cell shown: -14.812
SG: No. 123



[15]
A relaxed structure of LiTa2BBr, computed with GGA-PBE.

abc: 4.3580 4.5950 4.3580
angles: 90.00 90.00 90.00
Element x y z (fractional)
Li (0.0000, 0.5000, 0.0000)
Br (0.5000, 0.5000, 0.5000)
Ta (0.5000, 0.0000, 0.0000)
Ta (0.0000, 0.0000, 0.5000)
B (0.0000, 0.0000, 0.0000)

Computed properties:
E_form (uncorrected) in eV per formula unit: 3.084
M_tot in μB/f.u.: 0.00
Energy in eV for the cell shown: -30.886
SG: No. 123



[16]
A relaxed structure of LiZn2BBr, computed with GGA-PBE.

abc: 5.9499 4.3260 5.9499
angles: 90.00 90.00 90.00
Element x y z (fractional)
Br (0.0000, 0.0000, 0.0000)
Zn (0.0000, 0.0000, 0.5000)
Zn (0.5000, 0.0000, 0.0000)
Li (0.5000, 0.5000, 0.5000)
B (0.0000, 0.5000, 0.0000)

Computed properties:
E_form (uncorrected) in eV per formula unit: 5.949
M_tot in μB/f.u.: 0.00
Energy in eV for the cell shown: -6.863
SG: No. 123



[17]
A relaxed structure of Mg2BBr4, computed with GGA-PBE.

abc: 5.3884 5.3884 7.6106
angles: 69.27 69.27 90.00
Element x y z (fractional)
Br (0.7975, 0.7975, 0.4050)
Br (0.5000, 0.0000, 0.0000)
Br (0.2025, 0.2025, 0.5950)
Br (0.0000, 0.5000, 0.0000)
Mg (0.6107, 0.6107, 0.7787)
Mg (0.3893, 0.3893, 0.2213)
B (0.0000, 0.0000, 0.0000)

Computed properties:
E_form (uncorrected) in eV per formula unit: -1.149
M_tot in μB/f.u.: 0.00
Energy in eV for the cell shown: -17.707
SG: No. 139



[18]
A relaxed structure of Mg3BBr, computed with GGA-PBE.

abc: 5.1373 5.1373 5.1373
angles: 90.00 90.00 90.00
Element x y z (fractional)
Mg (0.5000, 0.0000, 0.0000)
Mg (0.0000, 0.0000, 0.5000)
Mg (0.0000, 0.5000, 0.0000)
Br (0.0000, 0.0000, 0.0000)
B (0.5000, 0.5000, 0.5000)

Computed properties:
E above lowest polymorph in kJ/mol of formula units: 686
E_form (uncorrected) in eV per formula unit: 6.051
M_tot in μB/f.u.: 0.00
Energy in eV for the cell shown: -7.083
SG: No. 221



[19]
A relaxed structure of MgB2Br8, computed with GGA-PBE.

abc: 6.0076 7.9130 7.9130
angles: 83.74 85.98 85.98
Element x y z (fractional)
Mg (0.0000, 0.0000, 0.0000)
Br (0.6835, 0.1964, 0.1964)
Br (0.2367, 0.9576, 0.2719)
Br (0.7633, 0.0424, 0.7281)
Br (0.7809, 0.6382, 0.6382)
Br (0.2191, 0.3618, 0.3618)
Br (0.3165, 0.8036, 0.8036)
Br (0.7633, 0.7281, 0.0424)
Br (0.2367, 0.2719, 0.9576)
B (0.3433, 0.2006, 0.2006)
B (0.6567, 0.7994, 0.7994)

Computed properties:
E above lowest polymorph in kJ/mol of formula units: 7
E_form (uncorrected) in eV per formula unit: -7.755
M_tot in μB/f.u.: 0.00
Energy in eV for the cell shown: -36.087
SG: No. 12



[20]
A relaxed structure of Mg3BBr, computed with GGA-PBE.

abc: 4.6545 4.6545 4.6545
angles: 90.00 90.00 90.00
Element x y z (fractional)
B (0.0000, 0.0000, 0.0000)
Mg (0.5000, 0.0000, 0.0000)
Mg (0.0000, 0.5000, 0.0000)
Mg (0.0000, 0.0000, 0.5000)
Br (0.5000, 0.5000, 0.5000)

Computed properties:
E above lowest polymorph in kJ/mol of formula units: 0
E_form (uncorrected) in eV per formula unit: -1.058
M_tot in μB/f.u.: 0.00
Energy in eV for the cell shown: -14.193
SG: No. 221



[21]
A relaxed structure of MgB2Br8, computed with GGA-PBE.

abc: 9.3504 10.1960 10.6453
angles: 66.51 63.95 62.71
Element x y z (fractional)
Br (0.1074, 0.9578, 0.2251)
Br (0.2032, 0.2205, 0.4819)
Br (0.4476, 0.7361, 0.5556)
Br (0.5524, 0.2639, 0.4444)
Br (0.7299, 0.9593, 0.1371)
Br (0.1737, 0.4593, 0.6371)
Br (0.2607, 0.2361, 0.0556)
Br (0.8263, 0.5407, 0.3629)
Br (0.2701, 0.0407, 0.8629)
Br (0.7393, 0.7639, 0.9444)
Br (0.7968, 0.7795, 0.5181)
Br (0.9057, 0.2795, 0.0181)
Br (0.8926, 0.0422, 0.7749)
Br (0.2903, 0.5422, 0.2749)
Br (0.0943, 0.7205, 0.9819)
Br (0.7097, 0.4578, 0.7251)
B (0.8593, 0.8693, 0.9603)
B (0.3111, 0.3693, 0.4603)
B (0.6889, 0.6307, 0.5397)
B (0.1407, 0.1307, 0.0397)
Mg (0.9797, 0.7500, 0.2500)
Mg (0.0203, 0.2500, 0.7500)

Computed properties:
E above lowest polymorph in kJ/mol of formula units: 0
E_form (uncorrected) in eV per formula unit: -7.828
M_tot in μB/f.u.: 0.00
Energy in eV for the cell shown: -72.322
SG: No. 15



[22]
A relaxed structure of Mg2BBrN2, computed with GGA-PBE.

abc: 5.6756 5.6756 6.5718
angles: 74.58 74.58 71.82
Element x y z (fractional)
Mg (0.6565, 0.8593, 0.6617)
Mg (0.3435, 0.1407, 0.3383)
Mg (0.8593, 0.6565, 0.1617)
Mg (0.1407, 0.3435, 0.8383)
Br (0.3690, 0.6310, 0.2500)
Br (0.6310, 0.3690, 0.7500)
N (0.7322, 0.9583, 0.3218)
N (0.0417, 0.2678, 0.1782)
N (0.9583, 0.7322, 0.8218)
N (0.2678, 0.0417, 0.6782)
B (0.1136, 0.8864, 0.7500)
B (0.8864, 0.1136, 0.2500)

Computed properties:
E_form (uncorrected) in eV per formula unit: -6.527
M_tot in μB/f.u.: 0.00
Energy in eV for the cell shown: -69.435
SG: No. 15



[23]
A relaxed structure of Mg3B7BrO13, computed with GGA-PBE.

abc: 8.6242 8.6242 8.6242
angles: 60.00 60.00 60.00
Element x y z (fractional)
O (0.3957, 0.5628, 0.2424)
O (0.8957, 0.2991, 0.7424)
O (0.7991, 0.2424, 0.5628)
O (0.2991, 0.0628, 0.7424)
O (0.2424, 0.7991, 0.3957)
O (0.5000, 0.5000, 0.5000)
O (0.8957, 0.7424, 0.0628)
O (0.8957, 0.0628, 0.2991)
O (0.0628, 0.2991, 0.8957)
O (0.7424, 0.8957, 0.2991)
O (0.0000, 0.0000, 0.0000)
O (0.3957, 0.7991, 0.5628)
O (0.0628, 0.7424, 0.2991)
O (0.2424, 0.3957, 0.5628)
O (0.5628, 0.2424, 0.3957)
O (0.7424, 0.2991, 0.0628)
O (0.5628, 0.3957, 0.7991)
O (0.2424, 0.5628, 0.7991)
O (0.7424, 0.0628, 0.8957)
O (0.7991, 0.3957, 0.2424)
O (0.5628, 0.7991, 0.2424)
O (0.2991, 0.8957, 0.0628)
O (0.2991, 0.7424, 0.8957)
O (0.0628, 0.8957, 0.7424)
O (0.3957, 0.2424, 0.7991)
O (0.7991, 0.5628, 0.3957)
Mg (0.5000, 0.5000, 0.0000)
Mg (0.5000, 0.0000, 0.0000)
Mg (0.0000, 0.5000, 0.0000)
Mg (0.0000, 0.0000, 0.5000)
Mg (0.0000, 0.5000, 0.5000)
Mg (0.5000, 0.0000, 0.5000)
Br (0.7500, 0.7500, 0.7500)
Br (0.2500, 0.2500, 0.2500)
B (0.7500, 0.2500, 0.7500)
B (0.7416, 0.4195, 0.4195)
B (0.9195, 0.2416, 0.9195)
B (0.4195, 0.4195, 0.7416)
B (0.4195, 0.7416, 0.4195)
B (0.7500, 0.7500, 0.2500)
B (0.2416, 0.9195, 0.9195)
B (0.2500, 0.2500, 0.7500)
B (0.7500, 0.2500, 0.2500)
B (0.9195, 0.9195, 0.2416)
B (0.2500, 0.7500, 0.2500)
B (0.9195, 0.9195, 0.9195)
B (0.4195, 0.4195, 0.4195)
B (0.2500, 0.7500, 0.7500)

Computed properties:
E_form (uncorrected) in eV per formula unit: -59.691
M_tot in μB/f.u.: 0.00
Energy in eV for the cell shown: -354.692
SG: No. 219